A | A relaxed structure of YTlBr2. Source: Alexandria, functional PBE.

a b c (Å): 6.657 6.657 6.745
angles (deg): 120.29 120.29 32.80
Fractional coordinates of all 4 atoms:
Y1 0.000 0.000 0.000
Tl1 0.268 0.268 0.527
Br1 0.445 0.445 0.245
Br2 0.632 0.632 0.903

## Properties
SG: No. 8

B | A relaxed structure of YTlBr2. Source: Alexandria, functional PBE.

a b c (Å): 5.445 5.752 5.752
angles (deg): 41.41 90.00 90.00
Fractional coordinates of all 4 atoms:
Y1 0.000 0.000 0.000
Tl1 0.500 0.398 0.398
Br1 0.000 0.708 0.708
Br2 0.500 0.105 0.105

## Properties
SG: No. 38

Tell me which of them is the least stable. Sure, it is B.

A | A relaxed structure of YTlBr2. Source: Alexandria, functional PBE.

a b c (Å): 4.001 4.752 6.543
angles (deg): 90.00 96.26 90.00
Fractional coordinates of all 4 atoms:
Y1 0.000 0.000 0.000
Tl1 0.500 0.000 0.500
Br1 0.160 0.500 0.768
Br2 0.840 0.500 0.232

## Properties
SG: No. 10

B | A relaxed structure of YTlBr2. Source: Alexandria, functional PBE.

a b c (Å): 5.667 5.667 3.664
angles (deg): 90.00 90.00 104.77
Fractional coordinates of all 4 atoms:
Y1 0.000 0.000 0.000
Tl1 0.500 0.500 0.000
Br1 0.000 0.500 0.500
Br2 0.500 0.000 0.500

## Properties
SG: No. 65

Tell me which of them is the least stable. Sure, it is B.

A | A relaxed structure of YTlBr2. Source: Alexandria, functional PBE.

a b c (Å): 10.483 10.483 10.483
angles (deg): 151.57 151.57 40.64
Fractional coordinates of all 8 atoms:
Y1 0.000 0.000 0.000
Y2 0.750 0.250 0.500
Tl1 0.250 0.750 0.500
Tl2 0.500 0.500 0.000
Br1 0.084 0.625 0.959
Br2 0.375 0.334 0.459
Br3 0.666 0.125 0.041
Br4 0.875 0.916 0.541

## Properties
SG: No. 122

B | A relaxed structure of YTlBr2. Source: Alexandria, functional PBE.

a b c (Å): 5.379 5.379 5.379
angles (deg): 60.00 60.00 60.00
Fractional coordinates of all 4 atoms:
Y1 0.000 0.000 0.000
Tl1 0.500 0.500 0.500
Br1 0.250 0.250 0.250
Br2 0.750 0.750 0.750

## Properties
SG: No. 225

C | A relaxed structure of YTlBr2. Source: Alexandria, functional PBE.

a b c (Å): 3.856 4.865 5.951
angles (deg): 90.00 90.00 90.00
Fractional coordinates of all 4 atoms:
Y1 0.000 0.000 0.000
Tl1 0.500 0.000 0.500
Br1 0.000 0.500 0.500
Br2 0.500 0.500 0.000

## Properties
SG: No. 47

Tell me which of them is the least stable. Sure, it is B.